Material: Ac2HoTh
Method: DFT, PBE-GGA
State: optimized geometry

Results
relative energy among the computed polymorphs: 0.1365 eV/atom
electronic total energy: -4.791 eV/atom
space group: Fm-3m (225)
density of states at the Fermi level: 10.7 states/eV/cell
calculated formation energy: 0.26 eV/atom
total moment: 0.0 Bohr magnetons per cell

```
Ac2HoTh
1.0
-4.1246 3.2715 2.8554
-5.8021 -0.6831 -1.3178
-3.6805 -2.6009 3.9442
Ho Ac Th
1 2 1
Cartesian
0.0000 0.0000 0.0000
-10.2054 -0.0094 4.1114
-3.4018 -0.0031 1.3705
-6.8036 -0.0062 2.7409
```